[1]
Compound: Li2Sn2Pd
Source: Alexandria
Functional: PBE
Structure: relaxed

The value obtained for the formation enthalpy at 0 K is -2.22 eV/f.u. Its symmetry is C2/m.

Geometry as extended XYZ:
```
10
Lattice="4.465 0.000 0.000 2.232 4.998 -0.368 2.232 0.129 8.738" Properties=species:S:1:pos:R:3 pbc="T T T"
Li 2.232 0.741 1.181
Li 4.465 2.011 6.060
Li 6.697 4.386 7.189
Li 4.465 3.116 2.310
Sn 6.697 1.628 8.422
Sn 2.232 1.098 3.872
Sn 2.232 3.498 -0.052
Sn 6.697 4.029 4.497
Pd 4.465 0.266 2.409
Pd 4.465 4.860 5.960
```

***

[2]
Compound: Ca6MgHg5
Source: Alexandria
Functional: PBE
Structure: relaxed

The value obtained for the formation enthalpy at 0 K is -5.69 eV/f.u. Its symmetry is Immm.

Geometry as extended XYZ:
```
12
Lattice="5.171 0.022 -1.509 -1.043 6.676 -3.477 -0.084 0.522 9.333" Properties=species:S:1:pos:R:3 pbc="T T T"
Ca 3.633 4.195 2.897
Ca 4.144 0.924 4.601
Ca 1.815 4.942 -3.322
Ca 2.313 1.756 -1.663
Ca -0.100 6.296 -0.253
Ca 0.411 3.025 1.450
Mg 0.000 0.000 0.000
Hg 3.203 1.218 1.379
Hg 1.317 2.576 4.552
Hg -0.521 3.338 -1.738
Hg 2.726 4.644 -0.204
Hg 0.841 6.002 2.969
```

***

[3]
Compound: AcZn2Au2
Source: Alexandria
Functional: PBE
Structure: relaxed

The value obtained for the formation enthalpy at 0 K is -2.84 eV/f.u. Its symmetry is Fmmm.

Geometry as extended XYZ:
```
5
Lattice="-1.366 1.060 3.998 -2.674 -3.438 0.038 6.321 -2.131 0.333" Properties=species:S:1:pos:R:3 pbc="T T T"
Ac 0.000 0.000 0.000
Zn 1.468 -1.130 3.174
Zn 0.814 -3.379 1.194
Au -0.982 -1.990 2.585
Au 3.263 -2.519 1.783
```

***

[4]
Compound: V2GeP
Source: Alexandria
Functional: PBE
Structure: relaxed

The value obtained for the formation enthalpy at 0 K is -0.06 eV/f.u. Its symmetry is I-42d.

Geometry as extended XYZ:
```
8
Lattice="-0.559 -1.886 6.392 5.521 -3.723 -0.616 3.963 -0.730 3.629" Properties=species:S:1:pos:R:3 pbc="T T T"
P 2.481 -2.805 2.888
P 5.983 -3.629 2.951
Ge 0.000 0.000 0.000
Ge 2.943 -2.710 6.454
V 1.355 -1.747 4.554
V 4.348 -2.825 1.592
V 5.067 -2.809 4.862
V 7.080 -5.298 7.802
```

***

[5]
Compound: PmDy2YEr
Source: Alexandria
Functional: PBE
Structure: relaxed

The value obtained for the formation enthalpy at 0 K is 2.02 eV/f.u. Its symmetry is Cmcm.

Geometry as extended XYZ:
```
10
Lattice="7.212 0.000 0.000 0.000 8.394 0.000 0.000 -4.197 5.731" Properties=species:S:1:pos:R:3 pbc="T T T"
Pm 1.803 4.197 2.585
Pm 5.409 0.000 3.145
Dy 3.606 2.608 0.000
Dy 0.000 5.786 0.000
Dy 3.606 5.786 0.000
Dy 0.000 2.608 0.000
Y 1.803 4.197 5.708
Y 5.409 0.000 0.023
Er 5.409 4.197 2.550
Er 1.803 0.000 3.181
```

***

[6]
Compound: HfBeV2Mo
Source: Alexandria
Functional: PBE
Structure: relaxed

The value obtained for the formation enthalpy at 0 K is 10.27 eV/f.u. Its symmetry is P4/mmm.

Geometry as extended XYZ:
```
5
Lattice="-4.240 1.809 -0.233 -0.315 -1.323 -4.553 -1.798 -4.047 1.301" Properties=species:S:1:pos:R:3 pbc="T T T"
Be -3.176 -1.781 -1.743
Mo -0.157 -0.662 -2.277
Hf 0.000 0.000 0.000
V -0.899 -2.024 0.650
V -2.120 0.905 -0.116
```

***

[7]
Compound: Cs3U2BiO9
Source: Alexandria
Functional: PBE
Structure: relaxed

The calculation puts the uncorrected formation energy at -2.427 eV per atom. Its symmetry is P-3m1.

Geometry as extended XYZ:
```
15
Lattice="6.304 0.000 0.000 -3.152 5.460 0.000 0.000 0.000 7.734" Properties=species:S:1:pos:R:3 pbc="T T T"
Cs 0.000 3.640 5.102
Cs 0.000 0.000 0.000
Cs 3.152 1.820 2.631
U 0.000 3.640 1.247
U 3.152 1.820 6.487
Bi 0.000 0.000 3.867
O 4.602 0.983 5.302
O 3.152 3.494 5.302
O 1.702 0.983 5.302
O 1.450 4.477 2.432
O 0.000 1.966 2.432
O -1.450 4.477 2.432
O 3.152 0.000 0.000
O -1.576 2.730 0.000
O 1.576 2.730 0.000
```

***

[8]
Compound: La2ScHgIr
Source: Alexandria
Functional: PBE
Structure: relaxed

The value obtained for the formation enthalpy at 0 K is -1.95 eV/f.u. Its symmetry is P4/mmm.

Geometry as extended XYZ:
```
5
Lattice="5.615 0.000 0.000 0.000 5.615 0.000 0.000 0.000 5.071" Properties=species:S:1:pos:R:3 pbc="T T T"
Sc 0.000 0.000 2.536
Ir 0.000 0.000 0.000
Hg 2.807 2.807 2.536
La 0.000 2.807 0.000
La 2.807 0.000 0.000
```

***

Repeat the second record exactly.
Compound: Ca6MgHg5
Source: Alexandria
Functional: PBE
Structure: relaxed

The value obtained for the formation enthalpy at 0 K is -5.69 eV/f.u. Its symmetry is Immm.

Geometry as extended XYZ:
```
12
Lattice="5.171 0.022 -1.509 -1.043 6.676 -3.477 -0.084 0.522 9.333" Properties=species:S:1:pos:R:3 pbc="T T T"
Ca 3.633 4.195 2.897
Ca 4.144 0.924 4.601
Ca 1.815 4.942 -3.322
Ca 2.313 1.756 -1.663
Ca -0.100 6.296 -0.253
Ca 0.411 3.025 1.450
Mg 0.000 0.000 0.000
Hg 3.203 1.218 1.379
Hg 1.317 2.576 4.552
Hg -0.521 3.338 -1.738
Hg 2.726 4.644 -0.204
Hg 0.841 6.002 2.969
```